[1]
## CuPWCl2 (PBE)

Data for a relaxed structure of CuPWCl2.

Summary:
**Volume**: 108 Å³ per cell
**DFT total energy**: -23.56 eV per cell
**Spin magnetization**: 0.000 μB per cell

Unit cell a=4.7546 b=4.7546 c=4.7912 alpha=90.00 beta=90.00 gamma=90.00
With the nearest neighbours (Å) after each atom.
Element x y z (fractional)
Cl 0.0000 0.5000 0.0000  2 W 2.38
Cl 0.5000 0.0000 0.0000  2 W 2.38
P 0.0000 0.0000 0.5000  2 W 2.40
W 0.0000 0.0000 0.0000  4 Cl 2.38, 2 P 2.40
Cu 0.5000 0.5000 0.5000  4 P 3.36, 8 Cl 3.37

***

[2]
## Cu23Pd6Au (PBE)

Data for a relaxed structure of Cu23Pd6Au.

Summary:
**DFT formation energy**: 0.010 eV/atom
**Volume**: 395 Å³ per cell
**DFT total energy**: -128.34 eV per cell
**Spin magnetization**: 0.000 μB per cell

Unit cell a=8.2387 b=8.2387 c=8.2387 alpha=60.00 beta=60.00 gamma=60.00
With the nearest neighbours (Å) after each atom.
Element x y z (fractional)
Cu 0.0000 0.0000 0.0000  8 Cu 2.49
Cu 0.3697 0.8768 0.8768  7 Cu 2.49-2.58, 3 Pd 2.63
Cu 0.8768 0.8768 0.8768  7 Cu 2.49-2.58, 3 Pd 2.63
Cu 0.5000 0.0000 0.5000  8 Cu 2.38-2.53
Cu 0.8768 0.3697 0.8768  7 Cu 2.49-2.58, 3 Pd 2.63
Cu 0.0000 0.5000 0.0000  8 Cu 2.38-2.53
Cu 0.0134 0.6622 0.6622  6 Cu 2.38-2.58
Cu 0.3378 0.3378 0.3378  6 Cu 2.38-2.58
Cu 0.9866 0.3378 0.3378  6 Cu 2.38-2.58
Cu 0.5000 0.5000 0.0000  8 Cu 2.38-2.53
Cu 0.5000 0.0000 0.0000  8 Cu 2.38-2.53
Cu 0.6622 0.6622 0.6622  6 Cu 2.38-2.58
Cu 0.3378 0.3378 0.9866  6 Cu 2.38-2.58
Cu 0.3378 0.9866 0.3378  6 Cu 2.38-2.58
Cu 0.6303 0.1232 0.1232  7 Cu 2.49-2.58, 3 Pd 2.63
Cu 0.0000 0.5000 0.5000  8 Cu 2.38-2.53
Cu 0.6622 0.6622 0.0134  6 Cu 2.38-2.58
Cu 0.1232 0.1232 0.6303  7 Cu 2.49-2.58, 3 Pd 2.63
Cu 0.1232 0.1232 0.1232  7 Cu 2.49-2.58, 3 Pd 2.63
Cu 0.8768 0.8768 0.3697  7 Cu 2.49-2.58, 3 Pd 2.63
Cu 0.0000 0.0000 0.5000  8 Cu 2.38-2.53
Cu 0.6622 0.0134 0.6622  6 Cu 2.38-2.58
Cu 0.1232 0.6303 0.1232  7 Cu 2.49-2.58, 3 Pd 2.63
Pd 0.2662 0.7338 0.7338  12 Cu 2.63-2.92, 1 Au 2.72
Pd 0.7338 0.2662 0.2662  12 Cu 2.63-2.92, 1 Au 2.72
Pd 0.7338 0.2662 0.7338  12 Cu 2.63-2.92, 1 Au 2.72
Pd 0.2662 0.7338 0.2662  12 Cu 2.63-2.92, 1 Au 2.72
Pd 0.7338 0.7338 0.2662  12 Cu 2.63-2.92, 1 Au 2.72
Pd 0.2662 0.2662 0.7338  12 Cu 2.63-2.92, 1 Au 2.72
Au 0.5000 0.5000 0.5000  6 Pd 2.72

***

[3]
## KSrCr2 (PBE)

Data for a relaxed structure of KSrCr2.

Summary:
**DFT formation energy**: 1.039 eV/atom
**Volume**: 136 Å³ per cell
**DFT total energy**: -17.87 eV per cell
**Spin magnetization**: 9.655 μB per cell

Unit cell a=6.7024 b=6.7024 c=6.1269 alpha=73.50 beta=73.50 gamma=31.19
With the nearest neighbours (Å) after each atom.
Element x y z (fractional)
K 0.4754 0.4754 0.5550  7 Cr 3.55-3.72, 2 K 3.60, 2 Sr 3.88-3.98
Cr 0.7119 0.7119 0.7388  2 Cr 3.00
Cr 0.0364 0.0364 0.0174  2 Cr 3.00
Sr 0.2763 0.2763 0.1888  7 Cr 3.55-3.69, 2 Sr 3.60, 2 K 3.88-3.98

***

[4]
## KOs (PBE)

Data for a relaxed structure of KOs.

Summary:
**DFT formation energy**: 0.986 eV/atom
**Volume**: 649 Å³ per cell
**DFT total energy**: -82.84 eV per cell
**Spin magnetization**: 0.000 μB per cell

Unit cell a=12.7088 b=12.7088 c=4.0202 alpha=90.00 beta=90.00 gamma=90.00
With the nearest neighbours (Å) after each atom.
Element x y z (fractional)
K 0.7026 0.0040 0.0000  6 Os 3.30-3.66
K 0.6826 0.3291 0.5000  5 Os 3.46-3.54
K 0.6709 0.6826 0.5000  5 Os 3.46-3.54
K 0.3291 0.3174 0.5000  5 Os 3.46-3.54
K 0.9960 0.7026 0.0000  6 Os 3.30-3.66
K 0.0040 0.2974 0.0000  6 Os 3.30-3.66
K 0.3174 0.6709 0.5000  5 Os 3.46-3.54
K 0.2974 0.9960 0.0000  6 Os 3.30-3.66
Os 0.1842 0.4846 0.0000  2 Os 2.34
Os 0.5154 0.1842 0.0000  2 Os 2.34
Os 0.4849 0.0943 0.5000  3 Os 2.34-2.43
Os 0.5151 0.9057 0.5000  3 Os 2.34-2.43
Os 0.8158 0.5154 0.0000  2 Os 2.34
Os 0.4846 0.8158 0.0000  2 Os 2.34
Os 0.0943 0.5151 0.5000  3 Os 2.34-2.43
Os 0.9057 0.4849 0.5000  3 Os 2.34-2.43